Entry from Alexandria via LeMat-Bulk: an optimized crystal structure of LaTb3Ce2Y6 (PBE).

POSCAR file:
```
LaTb3Ce2Y6
1.0
6.1947 -0.0010 0.0088
-3.0967 5.3651 0.0088
-1.0489 -1.8162 11.6326
Y Ce La Tb
6 2 1 3
direct
0.7474 0.7474 0.2503
0.0837 0.4201 0.2503
0.2526 0.2526 0.7497
0.4201 0.0837 0.2503
0.9163 0.5799 0.7497
0.5799 0.9163 0.7497
0.6667 0.3333 0.0000
0.3333 0.6667 0.0000
0.0000 0.0000 0.0000
0.5000 0.5000 0.5000
0.1665 0.8335 0.5000
0.8335 0.1665 0.5000
```

- DFT formation energy: 0.0516 eV per atom
- Total moment: 1.880 μB/cell
- Calculated total energy: -5.738 eV per atom